Entry 1:
First-principles (GGA-PBE) data for MnSiTe2 after structural relaxation, as listed in Alexandria via LeMat-Bulk.

```
MnSiTe2
1.0
2.041 1.179 6.701
-2.041 1.179 6.701
0.000 -2.357 6.701
Mn Si Te
1 1 2
direct
0.000 0.000 0.000
0.500 0.500 0.500
0.251 0.251 0.251
0.749 0.749 0.749
```

SG: No. 166
Uncorrected formation energy: 0.0968 eV/atom

=====

Entry 2:
First-principles (GGA-PBE) data for Ac2CeOs2N6 after structural relaxation, as listed in Alexandria via LeMat-Bulk.

```
Ac2CeOs2N6
1.0
2.935 1.694 6.198
-2.935 1.694 6.198
0.000 -3.389 6.198
Ac Ce Os N
2 1 2 6
direct
0.213 0.213 0.213
0.787 0.787 0.787
0.000 0.000 0.000
0.399 0.399 0.399
0.601 0.601 0.601
0.230 0.743 0.743
0.257 0.257 0.770
0.257 0.770 0.257
0.743 0.230 0.743
0.743 0.743 0.230
0.770 0.257 0.257
```

SG: No. 166
Uncorrected formation energy: -0.5746 eV/atom

=====

Entry 3:
First-principles (GGA-PBE) data for FeReB after structural relaxation, as listed in Alexandria via LeMat-Bulk.

```
FeReB
1.0
1.531 -6.954 0.000
1.531 6.954 0.000
0.000 0.000 3.019
Fe Re B
2 2 2
direct
0.207 0.793 0.750
0.793 0.207 0.250
0.412 0.588 0.750
0.588 0.412 0.250
0.039 0.961 0.750
0.961 0.039 0.250
```

SG: No. 63
E_form: -0.11 eV per atom

=====

Entry 4:
First-principles (GGA-PBE) data for CdRuRh2 after structural relaxation, as listed in Alexandria via LeMat-Bulk.

```
CdRuRh2
1.0
4.620 -1.395 0.000
4.620 1.395 0.000
-0.873 0.000 4.791
Cd Ru Rh
1 1 2
direct
0.000 0.000 0.000
0.761 0.761 0.299
0.242 0.242 0.755
0.499 0.499 0.494
```

SG: No. 8
E_form: 0.13 eV per atom

=====

Entry 5:
First-principles (GGA-PBE) data for DyNiPH after structural relaxation, as listed in Alexandria via LeMat-Bulk.

```
DyNiPH
1.0
3.820 0.000 0.000
0.000 3.820 0.000
0.000 0.000 7.200
Dy Ni P H
2 2 2 2
direct
0.250 0.250 0.171
0.750 0.750 0.829
0.250 0.750 0.500
0.750 0.250 0.500
0.250 0.250 0.672
0.750 0.750 0.328
0.250 0.750 0.000
0.750 0.250 0.000
```

SG: No. 129

=====

Calculated volume, record by record: 24.18 16.81 10.72 15.44 13.14 Å³/atom
Total energy, record by record: -20.5 -92.9 -55.8 -24.4 -46.0 eV per cell